DFT (PBE) results for crystalline AcPm2Si at its relaxed geometry.

Output
- energy above the lowest structure with this stoichiometry (eV/f.u.) = 1.12
- volume (A^3/atom) = 28.93
- electronic total energy (eV/cell) = -18.8

Lattice parameters (Å, degrees): 5.4698 5.4698 5.4698 60.00 60.00 60.00
With the nearest neighbours (Å) after each atom.
Atoms (fractional coordinates):
Ac: 0.0000 0.0000 0.0000  8 Pm 3.35
Pm: 0.2500 0.2500 0.2500  4 Ac 3.35, 4 Si 3.35
Pm: 0.7500 0.7500 0.7500  4 Ac 3.35, 4 Si 3.35
Si: 0.5000 0.5000 0.5000  8 Pm 3.35

---

DFT (PBE) results for crystalline Ac4Pm6Si7 at its relaxed geometry.

Output
- volume (A^3/atom) = 27.40
- electronic total energy (eV/cell) = -85.3

Lattice parameters (Å, degrees): 8.4580 8.4580 8.4580 109.47 109.47 109.47
With the nearest neighbours (Å) after each atom.
Atoms (fractional coordinates):
Ac: 0.0000 0.0000 0.5000  6 Si 3.45, 6 Pm 3.50
Ac: 0.0000 0.5000 0.0000  6 Si 3.45, 6 Pm 3.50
Ac: 0.5000 0.0000 0.0000  6 Si 3.45, 6 Pm 3.50
Ac: 0.5000 0.5000 0.5000  6 Si 3.45, 6 Pm 3.50
Pm: 0.0000 0.3075 0.3075  5 Si 3.00-3.08
Pm: 0.0000 0.6925 0.6925  5 Si 3.00-3.08
Pm: 0.3075 0.0000 0.3075  5 Si 3.00-3.08
Pm: 0.3075 0.3075 0.0000  5 Si 3.00-3.08
Pm: 0.6925 0.0000 0.6925  5 Si 3.00-3.08
Pm: 0.6925 0.6925 0.0000  5 Si 3.00-3.08
Si: 0.0000 0.0000 0.0000  6 Pm 3.00
Si: 0.2500 0.5000 0.7500  4 Pm 3.08
Si: 0.2500 0.7500 0.5000  4 Pm 3.08
Si: 0.5000 0.2500 0.7500  4 Pm 3.08
Si: 0.5000 0.7500 0.2500  4 Pm 3.08
Si: 0.7500 0.2500 0.5000  4 Pm 3.08
Si: 0.7500 0.5000 0.2500  4 Pm 3.08

---

DFT (PBE) results for crystalline AcPm3Si at its relaxed geometry.

Output
- energy above the lowest structure with this stoichiometry (eV/f.u.) = 0.00
- volume (A^3/atom) = 31.61
- electronic total energy (eV/cell) = -48.2

Lattice parameters (Å, degrees): 5.5653 5.5653 11.7836 90.00 90.00 120.00
With the nearest neighbours (Å) after each atom.
Atoms (fractional coordinates):
Ac: 0.3333 0.6667 0.2500  3 Pm 3.21
Ac: 0.6667 0.3333 0.7500  3 Pm 3.21
Pm: 0.0000 0.0000 0.2500  2 Si 2.95, 3 Ac 3.21
Pm: 0.0000 0.0000 0.7500  2 Si 2.95, 3 Ac 3.21
Pm: 0.3333 0.6667 0.5816  3 Si 3.35, 3 Pm 3.74
Pm: 0.3333 0.6667 0.9184  3 Si 3.35, 3 Pm 3.74
Pm: 0.6667 0.3333 0.0816  3 Si 3.35, 3 Pm 3.74
Pm: 0.6667 0.3333 0.4184  3 Si 3.35, 3 Pm 3.74
Si: 0.0000 0.0000 0.0000  2 Pm 2.95
Si: 0.0000 0.0000 0.5000  2 Pm 2.95

---

DFT (PBE) results for crystalline AcPmSi4 at its relaxed geometry.

Output
- energy above the lowest structure with this stoichiometry (eV/f.u.) = 0.00
- volume (A^3/atom) = 21.76
- electronic total energy (eV/cell) = -33.9

Lattice parameters (Å, degrees): 4.1483 4.1483 8.7619 90.00 90.00 120.00
With the nearest neighbours (Å) after each atom.
Atoms (fractional coordinates):
Ac: 0.0000 0.0000 0.0000  12 Si 3.33
Pm: 0.0000 0.0000 0.5000  12 Si 3.16
Si: 0.3333 0.6667 0.2639  3 Si 2.40
Si: 0.3333 0.6667 0.7361  3 Si 2.40
Si: 0.6667 0.3333 0.2639  3 Si 2.40
Si: 0.6667 0.3333 0.7361  3 Si 2.40

---

DFT (PBE) results for crystalline Ac3PmSi6 at its relaxed geometry.

Output
- volume (A^3/atom) = 25.52
- electronic total energy (eV/cell) = -108.7

Lattice parameters (Å, degrees): 8.0896 8.0896 8.0896 98.42 98.42 98.42
With the nearest neighbours (Å) after each atom.
Atoms (fractional coordinates):
Ac: 0.1886 0.7500 0.3114  10 Si 3.19-3.39
Ac: 0.2500 0.6886 0.8114  10 Si 3.19-3.39
Ac: 0.3114 0.1886 0.7500  10 Si 3.19-3.39
Ac: 0.6886 0.8114 0.2500  10 Si 3.19-3.39
Ac: 0.7500 0.3114 0.1886  10 Si 3.19-3.39
Ac: 0.8114 0.2500 0.6886  10 Si 3.19-3.39
Pm: 0.0000 0.0000 0.0000  6 Si 3.14
Pm: 0.5000 0.5000 0.5000  6 Si 3.14
Si: 0.0175 0.0931 0.3932  2 Si 2.47-2.50
Si: 0.0931 0.3932 0.0175  2 Si 2.47-2.50
Si: 0.1068 0.4069 0.4825  2 Si 2.47-2.50
Si: 0.3932 0.0175 0.0931  2 Si 2.47-2.50
Si: 0.4069 0.4825 0.1068  2 Si 2.47-2.50
Si: 0.4825 0.1068 0.4069  2 Si 2.47-2.50
Si: 0.5175 0.8932 0.5931  2 Si 2.47-2.50
Si: 0.5931 0.5175 0.8932  2 Si 2.47-2.50
Si: 0.6068 0.9825 0.9069  2 Si 2.47-2.50
Si: 0.8932 0.5931 0.5175  2 Si 2.47-2.50
Si: 0.9069 0.6068 0.9825  2 Si 2.47-2.50
Si: 0.9825 0.9069 0.6068  2 Si 2.47-2.50

---

DFT (PBE) results for crystalline Ac3PmSi3 at its relaxed geometry.

Output
- volume (A^3/atom) = 33.59
- electronic total energy (eV/cell) = -71.5

Lattice parameters (Å, degrees): 8.0002 8.0002 8.0596 92.76 92.76 113.77
With the nearest neighbours (Å) after each atom.
Atoms (fractional coordinates):
Ac: 0.1668 0.8332 0.0000  6 Si 3.09-3.38
Ac: 0.2317 0.7683 0.5000  6 Si 3.25-3.64
Ac: 0.3767 0.3767 0.1467  1 Si 3.02, 1 Ac 3.34
Ac: 0.6233 0.6233 0.8533  1 Si 3.02, 1 Ac 3.34
Ac: 0.7683 0.2317 0.5000  6 Si 3.25-3.64
Ac: 0.8332 0.1668 0.0000  6 Si 3.09-3.38
Pm: 0.2326 0.2326 0.6037  4 Si 2.81-2.86
Pm: 0.7674 0.7674 0.3963  4 Si 2.81-2.86
Si: 0.0655 0.0655 0.2820  2 Pm 2.84-2.86, 1 Ac 3.02
Si: 0.1533 0.4903 0.7961  1 Pm 2.81, 1 Ac 3.09
Si: 0.4903 0.1533 0.7961  1 Pm 2.81, 1 Ac 3.09
Si: 0.5097 0.8467 0.2039  1 Pm 2.81, 1 Ac 3.09
Si: 0.8467 0.5097 0.2039  1 Pm 2.81, 1 Ac 3.09
Si: 0.9345 0.9345 0.7180  2 Pm 2.84-2.86, 1 Ac 3.02

---

DFT (PBE) results for crystalline Ac2Pm3Si4 at its relaxed geometry.

Output
- energy above the lowest structure with this stoichiometry (eV/f.u.) = 0.00
- volume (A^3/atom) = 27.44
- electronic total energy (eV/cell) = -100.3

Lattice parameters (Å, degrees): 8.0395 8.1158 7.8842 90.00 106.20 90.00
With the nearest neighbours (Å) after each atom.
Atoms (fractional coordinates):
Ac: 0.1995 0.1770 0.0869  6 Si 3.27-3.36
Ac: 0.1995 0.3230 0.5869  6 Si 3.27-3.36
Ac: 0.8005 0.6770 0.4131  6 Si 3.27-3.36
Ac: 0.8005 0.8230 0.9131  6 Si 3.27-3.36
Pm: 0.2447 0.6819 0.2557  6 Si 3.02-3.13
Pm: 0.2447 0.8181 0.7557  6 Si 3.02-3.13
Pm: 0.5000 0.0000 0.5000  6 Si 3.14-3.26, 2 Pm 3.52
Pm: 0.5000 0.5000 0.0000  6 Si 3.14-3.26, 2 Pm 3.52
Pm: 0.7553 0.1819 0.2443  6 Si 3.02-3.13
Pm: 0.7553 0.3181 0.7443  6 Si 3.02-3.13
Si: 0.0796 0.5301 0.8884  1 Si 2.50
Si: 0.0796 0.9699 0.3884  1 Si 2.50
Si: 0.4970 0.1161 0.8794  1 Si 2.67
Si: 0.4970 0.3839 0.3794  1 Si 2.67
Si: 0.5030 0.6161 0.6206  1 Si 2.67
Si: 0.5030 0.8839 0.1206  1 Si 2.67
Si: 0.9204 0.0301 0.6116  1 Si 2.50
Si: 0.9204 0.4699 0.1116  1 Si 2.50

---

DFT (PBE) results for crystalline Ac3Pm4Si3 at its relaxed geometry.

Output
- volume (A^3/atom) = 31.88
- electronic total energy (eV/cell) = -102.7

Lattice parameters (Å, degrees): 9.3911 9.3911 9.3911 109.47 109.47 109.47
With the nearest neighbours (Å) after each atom.
Atoms (fractional coordinates):
Ac: 0.1250 0.8750 0.2500  4 Si 3.32
Ac: 0.2500 0.1250 0.8750  4 Si 3.32
Ac: 0.3750 0.6250 0.7500  4 Si 3.32
Ac: 0.6250 0.7500 0.3750  4 Si 3.32
Ac: 0.7500 0.3750 0.6250  4 Si 3.32
Ac: 0.8750 0.2500 0.1250  4 Si 3.32
Pm: 0.0000 0.1659 0.5000  3 Si 3.03
Pm: 0.0000 0.6659 0.5000  3 Si 3.03
Pm: 0.1659 0.5000 0.0000  3 Si 3.03
Pm: 0.3341 0.3341 0.3341  3 Si 3.03
Pm: 0.5000 0.0000 0.1659  3 Si 3.03
Pm: 0.5000 0.0000 0.6659  3 Si 3.03
Pm: 0.6659 0.5000 0.0000  3 Si 3.03
Pm: 0.8341 0.8341 0.8341  3 Si 3.03
Si: 0.1250 0.7500 0.8750  4 Pm 3.03, 4 Ac 3.32
Si: 0.2500 0.6250 0.3750  4 Pm 3.03, 4 Ac 3.32
Si: 0.3750 0.2500 0.6250  4 Pm 3.03, 4 Ac 3.32
Si: 0.6250 0.3750 0.2500  4 Pm 3.03, 4 Ac 3.32
Si: 0.7500 0.8750 0.1250  4 Pm 3.03, 4 Ac 3.32
Si: 0.8750 0.1250 0.7500  4 Pm 3.03, 4 Ac 3.32

---

DFT (PBE) results for crystalline AcPm2Si at its relaxed geometry.

Output
- energy above the lowest structure with this stoichiometry (eV/f.u.) = 0.01
- volume (A^3/atom) = 35.02
- electronic total energy (eV/cell) = -19.9

Lattice parameters (Å, degrees): 9.7303 9.7303 9.7303 24.57 24.57 24.57
With the nearest neighbours (Å) after each atom.
Atoms (fractional coordinates):
Ac: 0.0000 0.0000 0.0000  6 Pm 3.85-3.96, 6 Ac 4.14
Pm: 0.5552 0.5552 0.5552  3 Si 2.91
Pm: 0.7732 0.7732 0.7732  3 Si 2.88
Si: 0.1636 0.1636 0.1636  6 Pm 2.88-2.91

---

DFT (PBE) results for crystalline AcPm5Si2 at its relaxed geometry.

Output
- volume (A^3/atom) = 30.72
- electronic total energy (eV/cell) = -40.9

Lattice parameters (Å, degrees): 7.6943 7.6943 7.6943 144.88 104.73 85.86
With the nearest neighbours (Å) after each atom.
Atoms (fractional coordinates):
Ac: 0.0000 0.0000 0.0000  4 Si 3.41
Pm: 0.1516 0.3382 0.8134  3 Si 3.02-3.19, 2 Pm 3.28
Pm: 0.4753 0.6618 0.8134  3 Si 3.02-3.19, 2 Pm 3.28
Pm: 0.5000 0.0000 0.5000  2 Si 3.14, 8 Pm 3.43
Pm: 0.5247 0.3382 0.1866  3 Si 3.02-3.19, 2 Pm 3.28
Pm: 0.8484 0.6618 0.1866  3 Si 3.02-3.19, 2 Pm 3.28
Si: 0.2214 0.7214 0.5000  7 Pm 3.02-3.19
Si: 0.7786 0.2786 0.5000  7 Pm 3.02-3.19